# 1
DFT (PBE-GGA) results for a relaxed structure of La4Dy4Er.

Calculated values
The calculation puts the energy of formation at 0.2219 eV/atom. The energy above the lowest structure with this stoichiometry comes out at 194 meV/atom.

a b c (Å): 6.8095 6.8091 8.2643
angles (deg): 106.34 106.34 108.49
With the nearest neighbours (Å) after each atom.
Sites, in units of the cell vectors:
Dy1 0.3230 0.7921 0.1151  1 Er 3.43, 4 Dy 3.46-3.65, 2 La 3.53-3.64
Dy2 0.7948 0.7948 0.9883  1 La 2.90, 1 Er 3.13, 1 Dy 3.17
Er1 0.1802 0.1802 0.3604  1 La 2.91, 2 Dy 3.13
Dy3 0.7921 0.3230 0.1151  1 Er 3.43, 4 Dy 3.46-3.65, 2 La 3.53-3.64
La1 0.7225 0.7225 0.4449  2 Dy 3.53, 4 La 3.61
La2 0.3063 0.8063 0.6126  6 La 3.57-3.98, 2 Er 3.86, 2 Dy 3.90
La3 0.8063 0.3063 0.6126  6 La 3.57-3.98, 2 Er 3.86, 2 Dy 3.90
La4 0.3814 0.3814 0.7627  2 Dy 2.90, 1 Er 2.91
Dy4 0.1935 0.1935 0.9883  1 La 2.90, 1 Er 3.13, 1 Dy 3.17

***

# 2
DFT (PBE-GGA) results for a relaxed structure of HfZr2AlN.

Calculated values
The energy relative to the elements, uncorrected is -0.85 eV/atom.

a b c (Å): 4.5415 4.5415 4.2979
angles (deg): 90.00 90.00 90.00
With the nearest neighbours (Å) after each atom.
Sites, in units of the cell vectors:
Zr1 0.5000 0.0000 0.0000  2 N 2.27
Hf1 0.0000 0.0000 0.5000  2 N 2.15
Zr2 0.0000 0.5000 0.0000  2 N 2.27
N1 0.0000 0.0000 0.0000  2 Hf 2.15, 4 Zr 2.27
Al1 0.5000 0.5000 0.5000  8 Zr 3.13, 4 Hf 3.21

***

# 3
DFT (PBE-GGA) results for a relaxed structure of NbReP3.

Calculated values
The calculation puts the energy of formation at 0.9596 eV/atom. The energy above the lowest structure with this stoichiometry comes out at 0 meV/atom.

a b c (Å): 4.5892 4.5892 4.5892
angles (deg): 90.00 90.00 90.00
With the nearest neighbours (Å) after each atom.
Sites, in units of the cell vectors:
P1 0.0000 0.0000 0.5000  2 Re 2.29
P2 0.0000 0.5000 0.0000  2 Re 2.29
P3 0.5000 0.0000 0.0000  2 Re 2.29
Re1 0.0000 0.0000 0.0000  6 P 2.29
Nb1 0.5000 0.5000 0.5000  12 P 3.25

***

# 4
DFT (PBE-GGA) results for a relaxed structure of PSe3N.

Calculated values
The energy relative to the elements, uncorrected is 1.51 eV/atom. The energy above the lowest structure with this stoichiometry comes out at 342 meV/atom.

a b c (Å): 4.8669 4.8669 4.8669
angles (deg): 90.00 90.00 90.00
With the nearest neighbours (Å) after each atom.
Sites, in units of the cell vectors:
Se1 0.5000 0.0000 0.0000  2 P 2.43
Se2 0.0000 0.0000 0.5000  2 P 2.43
Se3 0.0000 0.5000 0.0000  2 P 2.43
N1 0.5000 0.5000 0.5000  12 Se 3.44
P1 0.0000 0.0000 0.0000  6 Se 2.43

***

# 5
DFT (PBE-GGA) results for a relaxed structure of Ni3MoN.

Calculated values
The energy relative to the elements, uncorrected is 2.45 eV/atom. The energy above the lowest structure with this stoichiometry comes out at 2095 meV/atom.

a b c (Å): 4.4933 4.4933 4.4933
angles (deg): 90.00 90.00 90.00
With the nearest neighbours (Å) after each atom.
Sites, in units of the cell vectors:
Ni1 0.0000 0.0000 0.5000  2 Mo 2.25
N1 0.5000 0.5000 0.5000  12 Ni 3.18
Ni2 0.5000 0.0000 0.0000  2 Mo 2.25
Mo1 0.0000 0.0000 0.0000  6 Ni 2.25
Ni3 0.0000 0.5000 0.0000  2 Mo 2.25

***

# 6
DFT (PBE-GGA) results for a relaxed structure of Li5AcAu2.

Calculated values
The calculation puts the energy of formation at -0.4104 eV/atom.

a b c (Å): 4.1774 6.8333 6.8333
angles (deg): 73.79 72.20 72.20
With the nearest neighbours (Å) after each atom.
Sites, in units of the cell vectors:
Li1 0.3365 0.4817 0.8453  3 Au 2.72-2.75, 3 Li 2.94-2.98
Li2 0.0000 0.5000 0.5000  2 Au 2.64
Au1 0.2610 0.2390 0.2390  7 Li 2.64-2.75
Li3 0.6635 0.5183 0.1547  3 Au 2.72-2.75, 3 Li 2.94-2.98
Au2 0.7390 0.7610 0.7610  7 Li 2.64-2.75
Ac1 0.0000 0.0000 0.0000  4 Au 3.19
Li4 0.6635 0.1547 0.5183  3 Au 2.72-2.75, 3 Li 2.94-2.98
Li5 0.3365 0.8453 0.4817  3 Au 2.72-2.75, 3 Li 2.94-2.98

***

# 7
DFT (PBE-GGA) results for a relaxed structure of Ca5Pm3H12.

Calculated values
The value obtained for the total energy is -3.6313 eV per atom.

a b c (Å): 11.6430 11.6430 11.6430
angles (deg): 109.47 109.47 109.47
With the nearest neighbours (Å) after each atom.
Sites, in units of the cell vectors:
H1 0.0628 0.6472 0.7258  2 Ca 2.24-2.29, 2 Pm 2.39-2.45, 1 H 2.44
Ca1 0.0000 0.0000 0.5000  6 H 2.29
Ca2 0.6250 0.8750 0.2500  4 H 2.24
H2 0.9156 0.0786 0.8528  2 Ca 2.24-2.29, 2 Pm 2.39-2.45, 1 H 2.44
H3 0.4372 0.7742 0.8528  2 Ca 2.24-2.29, 2 Pm 2.39-2.45, 1 H 2.44
Ca3 0.1250 0.7500 0.3750  4 H 2.24
H4 0.6629 0.4372 0.5844  2 Ca 2.24-2.29, 2 Pm 2.39-2.45, 1 H 2.44
Ca4 0.5000 0.5000 0.5000  6 H 2.29
Ca5 0.7500 0.6250 0.3750  4 H 2.24
Pm1 0.2500 0.1250 0.3750  8 H 2.39-2.45
Ca6 0.1250 0.3750 0.2500  4 H 2.24
H5 0.5628 0.2258 0.1472  2 Ca 2.24-2.29, 2 Pm 2.39-2.45, 1 H 2.44
H6 0.0844 0.9214 0.1472  2 Ca 2.24-2.29, 2 Pm 2.39-2.45, 1 H 2.44
H7 0.2742 0.4214 0.8371  2 Ca 2.24-2.29, 2 Pm 2.39-2.45, 1 H 2.44
H8 0.9156 0.8371 0.5628  2 Ca 2.24-2.29, 2 Pm 2.39-2.45, 1 H 2.44
Ca7 0.5000 0.0000 0.0000  6 H 2.29
H9 0.8528 0.2742 0.4372  2 Ca 2.24-2.29, 2 Pm 2.39-2.45, 1 H 2.44
Ca8 0.5000 0.0000 0.5000  6 H 2.29
H10 0.6629 0.2258 0.5786  2 Ca 2.24-2.29, 2 Pm 2.39-2.45, 1 H 2.44
H11 0.8371 0.9214 0.2742  2 Ca 2.24-2.29, 2 Pm 2.39-2.45, 1 H 2.44
H12 0.9214 0.8371 0.7742  2 Ca 2.24-2.29, 2 Pm 2.39-2.45, 1 H 2.44
Ca9 0.7500 0.1250 0.8750  4 H 2.24
H13 0.8371 0.9156 0.0628  2 Ca 2.24-2.29, 2 Pm 2.39-2.45, 1 H 2.44
H14 0.5844 0.9372 0.6629  2 Ca 2.24-2.29, 2 Pm 2.39-2.45, 1 H 2.44
Pm2 0.1250 0.8750 0.7500  8 H 2.39-2.45
H15 0.2258 0.5628 0.6472  2 Ca 2.24-2.29, 2 Pm 2.39-2.45, 1 H 2.44
H16 0.0786 0.9156 0.3528  2 Ca 2.24-2.29, 2 Pm 2.39-2.45, 1 H 2.44
Ca10 0.0000 0.5000 0.0000  6 H 2.29
Ca11 0.2500 0.3750 0.6250  4 H 2.24
Pm3 0.7500 0.8750 0.6250  8 H 2.39-2.45
Pm4 0.3750 0.7500 0.6250  8 H 2.39-2.45
H17 0.7258 0.5786 0.1629  2 Ca 2.24-2.29, 2 Pm 2.39-2.45, 1 H 2.44
H18 0.2742 0.8528 0.9372  2 Ca 2.24-2.29, 2 Pm 2.39-2.45, 1 H 2.44
H19 0.6472 0.5844 0.9214  2 Ca 2.24-2.29, 2 Pm 2.39-2.45, 1 H 2.44
Pm5 0.6250 0.2500 0.3750  8 H 2.39-2.45
Pm6 0.2500 0.6250 0.8750  8 H 2.39-2.45
H20 0.5628 0.3371 0.9156  2 Ca 2.24-2.29, 2 Pm 2.39-2.45, 1 H 2.44
Pm7 0.7500 0.3750 0.1250  8 H 2.39-2.45
Ca12 0.0000 0.5000 0.5000  6 H 2.29
Ca13 0.8750 0.2500 0.6250  4 H 2.24
H21 0.4214 0.1472 0.5844  2 Ca 2.24-2.29, 2 Pm 2.39-2.45, 1 H 2.44
H22 0.0628 0.4156 0.8371  2 Ca 2.24-2.29, 2 Pm 2.39-2.45, 1 H 2.44
H23 0.7742 0.3371 0.9214  2 Ca 2.24-2.29, 2 Pm 2.39-2.45, 1 H 2.44
Pm8 0.3750 0.6250 0.2500  8 H 2.39-2.45
H24 0.9372 0.3528 0.2742  2 Ca 2.24-2.29, 2 Pm 2.39-2.45, 1 H 2.44
H25 0.4156 0.3528 0.5786  2 Ca 2.24-2.29, 2 Pm 2.39-2.45, 1 H 2.44
H26 0.5786 0.8528 0.4156  2 Ca 2.24-2.29, 2 Pm 2.39-2.45, 1 H 2.44
Ca14 0.6250 0.7500 0.8750  4 H 2.24
Ca15 0.0000 0.0000 0.0000  6 H 2.29
H27 0.5786 0.7258 0.6629  2 Ca 2.24-2.29, 2 Pm 2.39-2.45, 1 H 2.44
H28 0.0844 0.1629 0.4372  2 Ca 2.24-2.29, 2 Pm 2.39-2.45, 1 H 2.44
H29 0.1629 0.0844 0.9372  2 Ca 2.24-2.29, 2 Pm 2.39-2.45, 1 H 2.44
H30 0.7258 0.1472 0.0628  2 Ca 2.24-2.29, 2 Pm 2.39-2.45, 1 H 2.44
H31 0.1629 0.0786 0.7258  2 Ca 2.24-2.29, 2 Pm 2.39-2.45, 1 H 2.44
Pm9 0.8750 0.7500 0.1250  8 H 2.39-2.45
H32 0.4214 0.2742 0.3371  2 Ca 2.24-2.29, 2 Pm 2.39-2.45, 1 H 2.44
H33 0.7742 0.4372 0.3528  2 Ca 2.24-2.29, 2 Pm 2.39-2.45, 1 H 2.44
H34 0.6472 0.0628 0.2258  2 Ca 2.24-2.29, 2 Pm 2.39-2.45, 1 H 2.44
H35 0.1472 0.7258 0.5628  2 Ca 2.24-2.29, 2 Pm 2.39-2.45, 1 H 2.44
Ca16 0.2500 0.8750 0.1250  4 H 2.24
Ca17 0.3750 0.2500 0.1250  4 H 2.24
Pm10 0.1250 0.2500 0.8750  8 H 2.39-2.45
H36 0.1472 0.4214 0.0844  2 Ca 2.24-2.29, 2 Pm 2.39-2.45, 1 H 2.44
H37 0.9372 0.5844 0.1629  2 Ca 2.24-2.29, 2 Pm 2.39-2.45, 1 H 2.44
H38 0.0786 0.1629 0.2258  2 Ca 2.24-2.29, 2 Pm 2.39-2.45, 1 H 2.44
Ca18 0.8750 0.6250 0.7500  4 H 2.24
H39 0.3371 0.5628 0.4156  2 Ca 2.24-2.29, 2 Pm 2.39-2.45, 1 H 2.44
Pm11 0.8750 0.1250 0.2500  8 H 2.39-2.45
Pm12 0.6250 0.3750 0.7500  8 H 2.39-2.45
H40 0.3528 0.9372 0.7742  2 Ca 2.24-2.29, 2 Pm 2.39-2.45, 1 H 2.44
H41 0.9214 0.0844 0.6472  2 Ca 2.24-2.29, 2 Pm 2.39-2.45, 1 H 2.44
H42 0.2258 0.6629 0.0786  2 Ca 2.24-2.29, 2 Pm 2.39-2.45, 1 H 2.44
Ca19 0.3750 0.1250 0.7500  4 H 2.24
H43 0.4372 0.6629 0.0844  2 Ca 2.24-2.29, 2 Pm 2.39-2.45, 1 H 2.44
Ca20 0.5000 0.5000 0.0000  6 H 2.29
H44 0.8528 0.5786 0.9156  2 Ca 2.24-2.29, 2 Pm 2.39-2.45, 1 H 2.44
H45 0.5844 0.6472 0.4214  2 Ca 2.24-2.29, 2 Pm 2.39-2.45, 1 H 2.44
H46 0.3528 0.4156 0.0786  2 Ca 2.24-2.29, 2 Pm 2.39-2.45, 1 H 2.44
H47 0.3371 0.7742 0.4214  2 Ca 2.24-2.29, 2 Pm 2.39-2.45, 1 H 2.44
H48 0.4156 0.0628 0.3371  2 Ca 2.24-2.29, 2 Pm 2.39-2.45, 1 H 2.44

***

# 8
DFT (PBE-GGA) results for a relaxed structure of Nd3Ho5O12.

Calculated values
The energy relative to the elements, uncorrected is -3.37 eV/atom.

a b c (Å): 11.8016 11.8016 11.8016
angles (deg): 109.47 109.47 109.47
With the nearest neighbours (Å) after each atom.
Sites, in units of the cell vectors:
Ho1 0.0000 0.0000 0.0000  6 O 2.27
O1 0.4109 0.0405 0.3248  2 Ho 2.11-2.27
Ho2 0.1250 0.3750 0.2500  4 O 2.11
O2 0.8704 0.2844 0.4595  2 Ho 2.11-2.27
O3 0.1296 0.4140 0.0891  2 Ho 2.11-2.27
O4 0.0891 0.9140 0.1296  2 Ho 2.11-2.27
Ho3 0.7500 0.1250 0.8750  4 O 2.11
Ho4 0.5000 0.5000 0.5000  6 O 2.27
O5 0.6296 0.5891 0.9140  2 Ho 2.11-2.27
O6 0.4595 0.6752 0.0891  2 Ho 2.11-2.27
Ho5 0.3750 0.1250 0.7500  4 O 2.11
Ho6 0.7500 0.6250 0.3750  4 O 2.11
O7 0.0860 0.9109 0.3704  2 Ho 2.11-2.27
O8 0.8248 0.9109 0.0405  2 Ho 2.11-2.27
O9 0.9595 0.3704 0.2844  2 Ho 2.11-2.27
Ho7 0.6250 0.7500 0.8750  4 O 2.11
Nd1 0.2500 0.1250 0.3750  8 O 2.56-2.59
O10 0.8248 0.9140 0.2844  2 Ho 2.11-2.27
Ho8 0.5000 0.0000 0.0000  6 O 2.27
Nd2 0.8750 0.7500 0.1250  8 O 2.56-2.59
O11 0.5860 0.7156 0.6752  2 Ho 2.11-2.27
O12 0.3248 0.7844 0.4140  2 Ho 2.11-2.27
Ho9 0.0000 0.5000 0.5000  6 O 2.27
Ho10 0.0000 0.5000 0.0000  6 O 2.27
Ho11 0.6250 0.8750 0.2500  4 O 2.11
O13 0.5405 0.2156 0.1296  2 Ho 2.11-2.27
Ho12 0.8750 0.2500 0.6250  4 O 2.11
O14 0.4140 0.1296 0.5891  2 Ho 2.11-2.27
O15 0.6752 0.2156 0.5860  2 Ho 2.11-2.27
O16 0.7156 0.5860 0.1752  2 Ho 2.11-2.27
Ho13 0.2500 0.3750 0.6250  4 O 2.11
O17 0.2156 0.5405 0.6296  2 Ho 2.11-2.27
O18 0.5860 0.8704 0.4109  2 Ho 2.11-2.27
O19 0.2156 0.6752 0.0860  2 Ho 2.11-2.27
O20 0.4140 0.2844 0.3248  2 Ho 2.11-2.27
O21 0.1752 0.0891 0.9595  2 Ho 2.11-2.27
O22 0.7844 0.3248 0.9140  2 Ho 2.11-2.27
O23 0.4109 0.3704 0.5860  2 Ho 2.11-2.27
O24 0.1296 0.7156 0.5405  2 Ho 2.11-2.27
Ho14 0.5000 0.5000 0.0000  6 O 2.27
Nd3 0.2500 0.6250 0.8750  8 O 2.56-2.59
O25 0.6296 0.0405 0.2156  2 Ho 2.11-2.27
Ho15 0.5000 0.0000 0.5000  6 O 2.27
O26 0.2844 0.8704 0.9595  2 Ho 2.11-2.27
O27 0.3704 0.9595 0.7844  2 Ho 2.11-2.27
Nd4 0.7500 0.3750 0.1250  8 O 2.56-2.59
Nd5 0.3750 0.7500 0.6250  8 O 2.56-2.59
Nd6 0.1250 0.8750 0.7500  8 O 2.56-2.59
O28 0.9140 0.8248 0.7844  2 Ho 2.11-2.27
O29 0.7156 0.1296 0.0405  2 Ho 2.11-2.27
O30 0.0405 0.4109 0.8248  2 Ho 2.11-2.27
O31 0.7844 0.4595 0.3704  2 Ho 2.11-2.27
O32 0.6752 0.4595 0.5891  2 Ho 2.11-2.27
O33 0.9140 0.0891 0.6296  2 Ho 2.11-2.27
O34 0.2844 0.4140 0.8248  2 Ho 2.11-2.27
O35 0.8704 0.5860 0.9109  2 Ho 2.11-2.27
Ho16 0.2500 0.8750 0.1250  4 O 2.11
O36 0.9595 0.5891 0.1752  2 Ho 2.11-2.27
O37 0.4595 0.7844 0.8704  2 Ho 2.11-2.27
Ho17 0.1250 0.7500 0.3750  4 O 2.11
O38 0.0405 0.6296 0.7156  2 Ho 2.11-2.27
Nd7 0.6250 0.2500 0.3750  8 O 2.56-2.59
O39 0.0860 0.1752 0.2156  2 Ho 2.11-2.27
Nd8 0.6250 0.3750 0.7500  8 O 2.56-2.59
O40 0.5891 0.9595 0.6752  2 Ho 2.11-2.27
Nd9 0.7500 0.8750 0.6250  8 O 2.56-2.59
Nd10 0.1250 0.2500 0.8750  8 O 2.56-2.59
O41 0.5405 0.3248 0.9109  2 Ho 2.11-2.27
O42 0.0891 0.1752 0.4595  2 Ho 2.11-2.27
Ho18 0.8750 0.6250 0.7500  4 O 2.11
O43 0.9109 0.0860 0.8704  2 Ho 2.11-2.27
Ho19 0.0000 0.0000 0.5000  6 O 2.27
O44 0.3704 0.4109 0.0860  2 Ho 2.11-2.27
O45 0.9109 0.8248 0.5405  2 Ho 2.11-2.27
O46 0.3248 0.5405 0.4109  2 Ho 2.11-2.27
O47 0.1752 0.0860 0.7156  2 Ho 2.11-2.27
O48 0.5891 0.6296 0.4140  2 Ho 2.11-2.27
Ho20 0.3750 0.2500 0.1250  4 O 2.11
Nd11 0.3750 0.6250 0.2500  8 O 2.56-2.59
Nd12 0.8750 0.1250 0.2500  8 O 2.56-2.59